# MgTaAu2 meta-GGA SCAN single point on PBEsol structure
data_MgTaAu2
_chemical_formula_sum 'Mg1 Ta1 Au2'
_cell_length_a 3.328
_cell_length_b 3.328
_cell_length_c 6.236
_cell_angle_alpha 90.00
_cell_angle_beta 90.00
_cell_angle_gamma 90.00
_symmetry_space_group_name_H-M 'P 1'
_symmetry_Int_Tables_number 1
_symmetry_space_group_name_Hall 'P 1'
loop_
_atom_site_label
_atom_site_fract_x
_atom_site_fract_y
_atom_site_fract_z
_atom_site_occupancy
Au1 0.500 0.500 0.262 1
Au2 0.000 0.000 0.995 1
Ta1 0.500 0.500 0.766 1
Mg1 0.000 0.000 0.477 1
# SG: P4mm (99)
# DFT formation energy: -0.143 eV/atom
# E_tot: -1.933 Ha/atom


# MgTaAu2 meta-GGA SCAN single point on PBEsol structure
data_MgTaAu2
_chemical_formula_sum 'Mg1 Ta1 Au2'
_cell_length_a 2.889
_cell_length_b 4.896
_cell_length_c 4.896
_cell_angle_alpha 89.98
_cell_angle_beta 90.00
_cell_angle_gamma 90.00
_symmetry_space_group_name_H-M 'P 1'
_symmetry_Int_Tables_number 1
_symmetry_space_group_name_Hall 'P 1'
loop_
_atom_site_label
_atom_site_fract_x
_atom_site_fract_y
_atom_site_fract_z
_atom_site_occupancy
Au1 0.000 0.000 0.500 1
Au2 0.000 0.500 0.000 1
Mg1 0.500 0.000 0.000 1
Ta1 0.500 0.500 0.500 1
# SG: P4/mmm (123)
# DFT formation energy: -0.369 eV/atom
# E_tot: -1.942 Ha/atom


The highest DFT formation energy belongs to which entry?
number 1